No. 1
Here is Y3BiH at its PBEsol-relaxed geometry from Alexandria via LeMat-Bulk. Energies are from SCAN.

- E: -33.609 eV per atom

Cell lengths 4.7809, 4.7809, 4.7809 Å; angles 90.00, 90.00, 90.00 degrees
With the nearest neighbours (Å) after each atom.
Positions (direct):
Y 0.0000 0.5000 0.0000  2 H 2.39
Y 0.0000 0.0000 0.5000  2 H 2.39
Y 0.5000 0.0000 0.0000  2 H 2.39
H 0.0000 0.0000 0.0000  6 Y 2.39
Bi 0.5000 0.5000 0.5000  12 Y 3.38


No. 2
Here is Y2BiH at its PBEsol-relaxed geometry from Alexandria via LeMat-Bulk. Energies are from SCAN.

- E: -35.139 eV per atom

Cell lengths 6.1228, 6.1228, 6.1228 Å; angles 108.98, 108.98, 110.46 degrees
With the nearest neighbours (Å) after each atom.
Positions (direct):
Y 0.7865 0.8750 0.4115  2 H 2.29
Y 0.4635 0.3750 0.5885  2 H 2.29
Y 0.1250 0.5365 0.9115  2 H 2.29
Y 0.6250 0.2135 0.0885  2 H 2.29
H 0.5000 0.5000 0.0000  4 Y 2.29
H 0.7500 0.2500 0.5000  4 Y 2.29
Bi 0.0000 0.0000 0.0000  8 Y 3.12-3.37, 2 H 3.49
Bi 0.2500 0.7500 0.5000  8 Y 3.12-3.37, 2 H 3.49


No. 3
Here is Hf2Bi at its PBEsol-relaxed geometry from Alexandria via LeMat-Bulk. Energies are from SCAN.

- Energy relative to the elements: -0.169 eV/atom

Cell lengths 4.1886, 4.3593, 7.7446 Å; angles 97.28, 105.69, 90.00 degrees
With the nearest neighbours (Å) after each atom.
Positions (direct):
Hf 0.3362 0.4382 0.6724  5 Bi 3.00-3.06, 4 Hf 3.20-3.29
Hf 0.0000 0.5000 0.0000  8 Hf 3.02-3.20, 4 Bi 3.10-3.12
Hf 0.6638 0.5618 0.3276  5 Bi 3.00-3.06, 4 Hf 3.20-3.29
Hf 0.5000 0.0000 0.0000  8 Hf 3.02-3.29, 4 Bi 3.05
Bi 0.8501 0.9347 0.7002  9 Hf 3.00-3.12
Bi 0.1499 0.0653 0.2998  9 Hf 3.00-3.12


No. 4
Here is Hf2HgBi2 at its PBEsol-relaxed geometry from Alexandria via LeMat-Bulk. Energies are from SCAN.

- Energy relative to the elements: -0.154 eV/atom

Cell lengths 3.9247, 7.8205, 7.8205 Å; angles 90.00, 90.00, 90.00 degrees
With the nearest neighbours (Å) after each atom.
Positions (direct):
Hf 0.0000 0.3600 0.8600  6 Bi 2.98-3.05, 2 Hg 3.02, 1 Hf 3.10
Hf 0.0000 0.8600 0.6400  6 Bi 2.98-3.05, 2 Hg 3.02, 1 Hf 3.10
Hf 0.0000 0.6400 0.1400  6 Bi 2.98-3.05, 2 Hg 3.02, 1 Hf 3.10
Hf 0.0000 0.1400 0.3600  6 Bi 2.98-3.05, 2 Hg 3.02, 1 Hf 3.10
Bi 0.5000 0.1578 0.6578  6 Hf 2.98-3.05
Bi 0.5000 0.6578 0.8422  6 Hf 2.98-3.05
Bi 0.5000 0.8422 0.3422  6 Hf 2.98-3.05
Bi 0.5000 0.3422 0.1578  6 Hf 2.98-3.05
Hg 0.0000 0.0000 0.0000  4 Hf 3.02
Hg 0.0000 0.5000 0.5000  4 Hf 3.02


No. 5
Here is HfHgBi3 at its PBEsol-relaxed geometry from Alexandria via LeMat-Bulk. Energies are from SCAN.

- Energy relative to the elements: 1.148 eV/atom

Cell lengths 5.4928, 5.4928, 5.4928 Å; angles 90.00, 90.00, 90.00 degrees
With the nearest neighbours (Å) after each atom.
Positions (direct):
Hf 0.5000 0.5000 0.5000  12 Bi 3.88
Bi 0.0000 0.5000 0.0000  2 Hg 2.75
Bi 0.0000 0.0000 0.5000  2 Hg 2.75
Bi 0.5000 0.0000 0.0000  2 Hg 2.75
Hg 0.0000 0.0000 0.0000  6 Bi 2.75


No. 6
Here is HfTlHgBi2 at its PBEsol-relaxed geometry from Alexandria via LeMat-Bulk. Energies are from SCAN.

- Energy relative to the elements: 1.051 eV/atom

Cell lengths 5.2769, 5.5863, 5.5863 Å; angles 90.00, 90.00, 90.00 degrees
With the nearest neighbours (Å) after each atom.
Positions (direct):
Tl 0.5000 0.0000 0.0000  2 Hg 2.64
Hf 0.5000 0.5000 0.5000  8 Bi 3.84, 4 Tl 3.95
Bi 0.0000 0.0000 0.5000  2 Hg 2.79
Bi 0.0000 0.5000 0.0000  2 Hg 2.79
Hg 0.0000 0.0000 0.0000  2 Tl 2.64, 4 Bi 2.79


No. 7
Here is LaHfBiI2 at its PBEsol-relaxed geometry from Alexandria via LeMat-Bulk. Energies are from SCAN.

- E: -51.230 eV per atom

Cell lengths 5.9092, 5.9092, 6.4134 Å; angles 90.00, 90.00, 90.00 degrees
With the nearest neighbours (Å) after each atom.
Positions (direct):
I 0.0000 0.5000 0.0000  2 La 2.95
I 0.5000 0.0000 0.0000  2 La 2.95
Hf 0.5000 0.5000 0.5000  4 Bi 4.18, 8 I 4.36
Bi 0.0000 0.0000 0.5000  2 La 3.21
La 0.0000 0.0000 0.0000  4 I 2.95, 2 Bi 3.21


No. 8
Here is HfZnBiI2 at its PBEsol-relaxed geometry from Alexandria via LeMat-Bulk. Energies are from SCAN.

- E: -45.528 eV per atom

Cell lengths 5.5426, 5.5426, 5.7264 Å; angles 90.00, 90.00, 90.00 degrees
With the nearest neighbours (Å) after each atom.
Positions (direct):
I 0.0000 0.5000 0.0000  2 Hf 2.77
I 0.5000 0.0000 0.0000  2 Hf 2.77
Zn 0.5000 0.5000 0.5000  4 Bi 3.92, 8 I 3.98
Hf 0.0000 0.0000 0.0000  4 I 2.77, 2 Bi 2.86
Bi 0.0000 0.0000 0.5000  2 Hf 2.86


No. 9
Here is HfInBi2 at its PBEsol-relaxed geometry from Alexandria via LeMat-Bulk. Energies are from SCAN.

- Energy relative to the elements: 0.309 eV/atom

Cell lengths 6.7563, 6.7563, 8.2159 Å; angles 114.28, 114.28, 90.00 degrees
With the nearest neighbours (Å) after each atom.
Positions (direct):
Hf 0.2500 0.7500 0.5000  4 Bi 2.84
Hf 0.0000 0.0000 0.0000  4 Bi 2.84
Bi 0.3543 0.8750 0.2500  2 Hf 2.84, 2 In 3.00
Bi 0.8957 0.3750 0.2500  2 Hf 2.84, 2 In 3.00
Bi 0.1250 0.1043 0.7500  2 Hf 2.84, 2 In 3.00
Bi 0.6250 0.6457 0.7500  2 Hf 2.84, 2 In 3.00
In 0.7500 0.2500 0.5000  4 Bi 3.00
In 0.5000 0.5000 0.0000  4 Bi 3.00


No. 10
Here is HfInBi3 at its PBEsol-relaxed geometry from Alexandria via LeMat-Bulk. Energies are from SCAN.

- Energy relative to the elements: 1.172 eV/atom

Cell lengths 5.5215, 5.5215, 5.5215 Å; angles 90.00, 90.00, 90.00 degrees
With the nearest neighbours (Å) after each atom.
Positions (direct):
Hf 0.5000 0.5000 0.5000  12 Bi 3.90
Bi 0.0000 0.5000 0.0000  2 In 2.76
Bi 0.0000 0.0000 0.5000  2 In 2.76
Bi 0.5000 0.0000 0.0000  2 In 2.76
In 0.0000 0.0000 0.0000  6 Bi 2.76


No. 11
Here is Hf2InBi at its PBEsol-relaxed geometry from Alexandria via LeMat-Bulk. Energies are from SCAN.

- Energy relative to the elements: 0.061 eV/atom

Cell lengths 5.0064, 5.0064, 5.0064 Å; angles 60.00, 60.00, 60.00 degrees
With the nearest neighbours (Å) after each atom.
Positions (direct):
Hf 0.2500 0.2500 0.2500  4 In 3.07, 4 Bi 3.07
Hf 0.7500 0.7500 0.7500  4 In 3.07, 4 Bi 3.07
Bi 0.5000 0.5000 0.5000  8 Hf 3.07
In 0.0000 0.0000 0.0000  8 Hf 3.07


No. 12
Here is HfMgIn2Bi at its PBEsol-relaxed geometry from Alexandria via LeMat-Bulk. Energies are from SCAN.

- Energy relative to the elements: 0.776 eV/atom

Cell lengths 5.5039, 5.4411, 5.4411 Å; angles 90.00, 90.00, 90.00 degrees
With the nearest neighbours (Å) after each atom.
Positions (direct):
Mg 0.5000 0.0000 0.0000  2 Hf 2.75
Hf 0.0000 0.0000 0.0000  4 In 2.72, 2 Mg 2.75
Bi 0.5000 0.5000 0.5000  4 Mg 3.85, 8 In 3.87
In 0.0000 0.0000 0.5000  2 Hf 2.72
In 0.0000 0.5000 0.0000  2 Hf 2.72


No. 13
Here is Na2HfBiIr at its PBEsol-relaxed geometry from Alexandria via LeMat-Bulk. Energies are from SCAN.

- Energy relative to the elements: 0.352 eV/atom

Cell lengths 4.8795, 5.1910, 5.1910 Å; angles 90.00, 90.00, 90.00 degrees
With the nearest neighbours (Å) after each atom.
Positions (direct):
Na 0.0000 0.0000 0.5000  2 Ir 2.60
Na 0.0000 0.5000 0.0000  2 Ir 2.60
Ir 0.0000 0.0000 0.0000  2 Hf 2.44, 4 Na 2.60
Hf 0.5000 0.0000 0.0000  2 Ir 2.44
Bi 0.5000 0.5000 0.5000  8 Na 3.56, 4 Hf 3.67


No. 14
Here is Hf2BiIrO at its PBEsol-relaxed geometry from Alexandria via LeMat-Bulk. Energies are from SCAN.

- E: -55.579 eV per atom

Cell lengths 4.9790, 4.9790, 5.0704 Å; angles 90.00, 90.00, 90.00 degrees
With the nearest neighbours (Å) after each atom.
Positions (direct):
Ir 0.0000 0.0000 0.0000  4 Hf 2.49, 2 Bi 2.54
Hf 0.0000 0.5000 0.0000  2 Ir 2.49
Hf 0.5000 0.0000 0.0000  2 Ir 2.49
Bi 0.0000 0.0000 0.5000  2 Ir 2.54
O 0.5000 0.5000 0.5000  4 Bi 3.52, 8 Hf 3.55


No. 15
Here is HfTcBi2Ir at its PBEsol-relaxed geometry from Alexandria via LeMat-Bulk. Energies are from SCAN.

- Energy relative to the elements: 1.144 eV/atom

Cell lengths 4.7097, 5.1179, 5.1179 Å; angles 90.00, 90.00, 90.00 degrees
With the nearest neighbours (Å) after each atom.
Positions (direct):
Ir 0.5000 0.0000 0.0000  2 Tc 2.35
Hf 0.5000 0.5000 0.5000  8 Bi 3.48, 4 Ir 3.62
Bi 0.0000 0.0000 0.5000  2 Tc 2.56
Bi 0.0000 0.5000 0.0000  2 Tc 2.56
Tc 0.0000 0.0000 0.0000  2 Ir 2.35, 4 Bi 2.56


No. 16
Here is HfBi2TeIr at its PBEsol-relaxed geometry from Alexandria via LeMat-Bulk. Energies are from SCAN.

- E: -65.223 eV per atom

Cell lengths 5.0684, 5.2977, 5.2977 Å; angles 90.00, 90.00, 90.00 degrees
With the nearest neighbours (Å) after each atom.
Positions (direct):
Te 0.5000 0.5000 0.5000  8 Bi 3.67, 4 Hf 3.75
Ir 0.0000 0.0000 0.0000  2 Hf 2.53, 4 Bi 2.65
Hf 0.5000 0.0000 0.0000  2 Ir 2.53
Bi 0.0000 0.0000 0.5000  2 Ir 2.65
Bi 0.0000 0.5000 0.0000  2 Ir 2.65


No. 17
Here is KHf3Bi at its PBEsol-relaxed geometry from Alexandria via LeMat-Bulk. Energies are from SCAN.

- Energy relative to the elements: 2.062 eV/atom

Cell lengths 4.9139, 4.9139, 4.9139 Å; angles 90.00, 90.00, 90.00 degrees
With the nearest neighbours (Å) after each atom.
Positions (direct):
K 0.0000 0.0000 0.0000  6 Hf 2.46
Hf 0.0000 0.5000 0.0000  2 K 2.46
Hf 0.0000 0.0000 0.5000  2 K 2.46
Hf 0.5000 0.0000 0.0000  2 K 2.46
Bi 0.5000 0.5000 0.5000  12 Hf 3.47


No. 18
Here is LaHfBi3 at its PBEsol-relaxed geometry from Alexandria via LeMat-Bulk. Energies are from SCAN.

- Energy relative to the elements: 1.146 eV/atom

Cell lengths 5.8680, 5.8680, 5.8680 Å; angles 90.00, 90.00, 90.00 degrees
With the nearest neighbours (Å) after each atom.
Positions (direct):
Hf 0.5000 0.5000 0.5000  12 Bi 4.15
Bi 0.0000 0.5000 0.0000  2 La 2.93
Bi 0.0000 0.0000 0.5000  2 La 2.93
Bi 0.5000 0.0000 0.0000  2 La 2.93
La 0.0000 0.0000 0.0000  6 Bi 2.93


No. 19
Here is LaHfBi2 at its PBEsol-relaxed geometry from Alexandria via LeMat-Bulk. Energies are from SCAN.

- Energy relative to the elements: -0.395 eV/atom

Cell lengths 5.3400, 5.3400, 5.3400 Å; angles 60.00, 60.00, 60.00 degrees
With the nearest neighbours (Å) after each atom.
Positions (direct):
Hf 0.5000 0.5000 0.5000  8 Bi 3.27
Bi 0.2500 0.2500 0.2500  4 Hf 3.27, 4 La 3.27
Bi 0.7500 0.7500 0.7500  4 Hf 3.27, 4 La 3.27
La 0.0000 0.0000 0.0000  8 Bi 3.27


No. 20
Here is HfMg2Bi2 at its PBEsol-relaxed geometry from Alexandria via LeMat-Bulk. Energies are from SCAN.

- Energy relative to the elements: 0.149 eV/atom

Cell lengths 3.8192, 7.9522, 7.9522 Å; angles 90.00, 90.00, 90.00 degrees
With the nearest neighbours (Å) after each atom.
Positions (direct):
Mg 0.0000 0.3726 0.8726  1 Mg 2.86, 6 Bi 2.92-3.11, 2 Hf 3.13
Mg 0.0000 0.8726 0.6274  1 Mg 2.86, 6 Bi 2.92-3.11, 2 Hf 3.13
Mg 0.0000 0.6274 0.1274  1 Mg 2.86, 6 Bi 2.92-3.11, 2 Hf 3.13
Mg 0.0000 0.1274 0.3726  1 Mg 2.86, 6 Bi 2.92-3.11, 2 Hf 3.13
Hf 0.0000 0.0000 0.0000  4 Mg 3.13, 8 Bi 3.50
Hf 0.0000 0.5000 0.5000  4 Mg 3.13, 8 Bi 3.50
Bi 0.5000 0.1768 0.6768  6 Mg 2.92-3.11
Bi 0.5000 0.6768 0.8232  6 Mg 2.92-3.11
Bi 0.5000 0.8232 0.3232  6 Mg 2.92-3.11
Bi 0.5000 0.3232 0.1768  6 Mg 2.92-3.11